[1]
An optimized crystal structure of BaSiPb, computed with PBE-GGA.

As for the raw total energy: -44.9 eV per cell. As for the density of states at the Fermi level: 4.01 states/eV/f.u. The size of the total moment is 0.000 μB/f.u. Its formation energy without anion corrections is -55 meV/atom. Its energy above the lowest structure with this stoichiometry is 25.4 kJ/mol of atoms.

It has space group F-43m (No. 216), with a = 7.5191 Å, b = 7.5191 Å, c = 7.5191 Å, α = 90.00°, β = 90.00° and γ = 90.00°. Symmetry generates all atoms from Ba at (0.0000, 0.0000, 0.0000), Si at (0.2500, 0.2500, 0.7500) and Pb at (0.0000, 0.0000, 0.5000).



[2]
An optimized crystal structure of BaSi2Pb, computed with PBE-GGA.

As for the raw total energy: -17.0 eV per cell. As for the density of states at the Fermi level: 0.76 states/eV/f.u. The size of the total moment is 0.000 μB/f.u. Its formation energy without anion corrections is -131 meV/atom.

It has space group Pm (No. 6), with a = 4.6314 Å, b = 4.0520 Å, c = 6.4199 Å, α = 90.00°, β = 105.07° and γ = 90.00°. Symmetry generates all atoms from Ba at (0.0000, 0.0000, 0.0000), Si at (0.5679, 0.5000, 0.2229), Si at (0.7108, 0.0000, 0.4485) and Pb at (0.2337, 0.5000, 0.5406).